## w
Cd6PtAu3: optimized geometry, GGA-PBE. Values from VASP.

Calculated values
Crystal system ... monoclinic
Space-group type ... No. 12

The structure in Quantum ESPRESSO input format:
```
&SYSTEM
  ibrav = 0, nat = 10, ntyp = 3
/
ATOMIC_SPECIES
Cd 112.41 Cd.upf
Pt 195.08 Pt.upf
Au 196.97 Au.upf
CELL_PARAMETERS angstrom
4.8060 -3.0602 0.0000
4.8060 3.0602 0.0000
-3.0071 0.0000 7.1260
ATOMIC_POSITIONS angstrom
Cd 1.3630 1.5658 4.9086
Cd -1.0545 0.0000 6.3977
Cd 5.2419 1.5658 2.2174
Cd 1.3630 -1.5658 4.9086
Cd 7.6595 0.0000 0.7283
Cd 5.2419 -1.5658 2.2174
Pt -1.5036 0.0000 3.5630
Au 2.8066 0.0000 2.1066
Au 4.8060 0.0000 0.0000
Au 3.7984 0.0000 5.0194
```

=====

## x
Cd6PtAu3: optimized geometry, GGA-PBE. Values from VASP.

Calculated values
Crystal system ... monoclinic
Space-group type ... No. 11

The structure in Quantum ESPRESSO input format:
```
&SYSTEM
  ibrav = 0, nat = 20, ntyp = 3
/
ATOMIC_SPECIES
Cd 112.41 Cd.upf
Pt 195.08 Pt.upf
Au 196.97 Au.upf
CELL_PARAMETERS angstrom
8.1430 0.0000 0.0000
0.0000 4.7607 0.0000
-4.0549 0.0000 10.1716
ATOMIC_POSITIONS angstrom
Cd -0.5814 1.1902 1.5749
Cd -1.2274 3.5706 3.4257
Cd 1.2856 3.5706 1.4768
Cd -0.0587 1.1902 4.9674
Cd -0.5436 3.5706 9.4388
Cd 2.4733 1.1902 3.0642
Cd 1.6148 3.5706 7.1075
Cd 4.6316 1.1902 0.7329
Cd 4.1468 3.5706 5.2042
Cd 2.8025 1.1902 8.6948
Cd 5.3154 1.1902 6.7459
Cd 4.6695 3.5706 8.5967
Pt 1.4623 3.5706 4.2864
Pt 2.6258 1.1902 5.8852
Au -1.2706 3.5706 6.4866
Au -2.3023 1.1902 9.9542
Au -0.0492 1.1902 7.8838
Au 4.1373 3.5706 2.2879
Au 6.3903 3.5706 0.2174
Au 5.3587 1.1902 3.6851
```

=====

Q: Which of them is the least stable? A: w.

=====

## w
Cd2Pt2Au: optimized geometry, GGA-PBE. Values from VASP.

Calculated values
Crystal system ... tetragonal
Space-group type ... No. 127

The structure in Quantum ESPRESSO input format:
```
&SYSTEM
  ibrav = 0, nat = 10, ntyp = 3
/
ATOMIC_SPECIES
Cd 112.41 Cd.upf
Pt 195.08 Pt.upf
Au 196.97 Au.upf
CELL_PARAMETERS angstrom
6.9757 0.0000 0.0000
0.0000 6.9757 0.0000
0.0000 0.0000 3.9606
ATOMIC_POSITIONS angstrom
Cd 1.1616 2.3263 0.0000
Cd 2.3263 5.8141 0.0000
Cd 4.6494 1.1616 0.0000
Cd 5.8141 4.6494 0.0000
Pt 0.9369 4.4248 1.9803
Pt 2.5509 0.9369 1.9803
Pt 4.4248 6.0388 1.9803
Pt 6.0388 2.5509 1.9803
Au 0.0000 0.0000 1.9803
Au 3.4878 3.4878 1.9803
```

=====

## x
Cd2Pt2Au: optimized geometry, GGA-PBE. Values from VASP.

Calculated values
Crystal system ... tetragonal
Space-group type ... No. 127

The structure in Quantum ESPRESSO input format:
```
&SYSTEM
  ibrav = 0, nat = 10, ntyp = 3
/
ATOMIC_SPECIES
Cd 112.41 Cd.upf
Pt 195.08 Pt.upf
Au 196.97 Au.upf
CELL_PARAMETERS angstrom
8.0391 0.0000 0.0000
0.0000 8.0391 0.0000
0.0000 0.0000 2.9284
ATOMIC_POSITIONS angstrom
Cd 1.3466 2.6729 0.0000
Cd 2.6729 6.6925 0.0000
Cd 5.3661 1.3466 0.0000
Cd 6.6925 5.3661 0.0000
Pt 1.0357 5.0552 1.4642
Pt 2.9839 1.0357 1.4642
Pt 5.0552 7.0034 1.4642
Pt 7.0034 2.9839 1.4642
Au 0.0000 0.0000 0.0000
Au 4.0195 4.0195 0.0000
```

=====

## y
Cd2Pt2Au: optimized geometry, GGA-PBE. Values from VASP.

Calculated values
Crystal system ... hexagonal
Space-group type ... No. 194

The structure in Quantum ESPRESSO input format:
```
&SYSTEM
  ibrav = 0, nat = 10, ntyp = 3
/
ATOMIC_SPECIES
Cd 112.41 Cd.upf
Pt 195.08 Pt.upf
Au 196.97 Au.upf
CELL_PARAMETERS angstrom
4.5540 0.0000 0.0000
-2.2770 3.9439 0.0000
0.0000 0.0000 10.8024
ATOMIC_POSITIONS angstrom
Cd 0.0000 2.6293 1.0657
Cd 0.0000 2.6293 4.3354
Cd 2.2770 1.3146 6.4669
Cd 2.2770 1.3146 9.7366
Pt 0.0000 0.0000 0.0000
Pt 0.0000 0.0000 5.4012
Pt 0.0000 2.6293 8.1018
Pt 2.2770 1.3146 2.7006
Au 0.0000 0.0000 2.7006
Au 0.0000 0.0000 8.1018
```

=====

## z
Cd2Pt2Au: optimized geometry, GGA-PBE. Values from VASP.

Calculated values
Crystal system ... tetragonal
Space-group type ... No. 139

The structure in Quantum ESPRESSO input format:
```
&SYSTEM
  ibrav = 0, nat = 5, ntyp = 3
/
ATOMIC_SPECIES
Cd 112.41 Cd.upf
Pt 195.08 Pt.upf
Au 196.97 Au.upf
CELL_PARAMETERS angstrom
-2.0194 2.0194 6.2444
2.0194 -2.0194 6.2444
2.0194 2.0194 -6.2444
ATOMIC_POSITIONS angstrom
Cd 2.0194 0.0000 3.1222
Cd 0.0000 2.0194 3.1222
Pt 0.0000 0.0000 1.2768
Pt 0.0000 0.0000 11.2120
Au 0.0000 0.0000 6.2444
```

=====

Q: Which of them is the least stable? A: z.

=====

## w
CdPtAu6: optimized geometry, GGA-PBE. Values from VASP.

Calculated values
Crystal system ... monoclinic
Space-group type ... No. 12

The structure in Quantum ESPRESSO input format:
```
&SYSTEM
  ibrav = 0, nat = 8, ntyp = 3
/
ATOMIC_SPECIES
Cd 112.41 Cd.upf
Pt 195.08 Pt.upf
Au 196.97 Au.upf
CELL_PARAMETERS angstrom
4.0827 -2.7448 0.0000
4.0827 2.7448 0.0000
-2.3071 0.0000 7.2823
ATOMIC_POSITIONS angstrom
Cd 0.0000 0.0000 0.0000
Pt 2.9291 0.0000 3.6412
Au 2.0680 1.3806 1.4276
Au 0.1792 0.0000 3.2434
Au 3.7902 1.3806 5.8547
Au 2.0680 -1.3806 1.4276
Au 5.6790 0.0000 4.0389
Au 3.7902 -1.3806 5.8547
```

=====

## x
CdPtAu6: optimized geometry, GGA-PBE. Values from VASP.

Calculated values
Crystal system ... orthorhombic
Space-group type ... No. 65

The structure in Quantum ESPRESSO input format:
```
&SYSTEM
  ibrav = 0, nat = 8, ntyp = 3
/
ATOMIC_SPECIES
Cd 112.41 Cd.upf
Pt 195.08 Pt.upf
Au 196.97 Au.upf
CELL_PARAMETERS angstrom
4.1585 -4.1644 0.0000
4.1585 4.1644 0.0000
0.0000 0.0000 4.1499
ATOMIC_POSITIONS angstrom
Cd 0.0000 0.0000 0.0000
Pt 4.1585 0.0000 0.0000
Au 2.0792 2.0822 0.0000
Au 4.1585 2.0622 2.0750
Au 2.1019 0.0000 2.0750
Au 2.0792 -2.0822 0.0000
Au 6.2151 0.0000 2.0750
Au 4.1585 -2.0622 2.0750
```

=====

Q: Which of them is the least stable? A: w.

=====

## w
Cd3PtAu3: optimized geometry, GGA-PBE. Values from VASP.

Calculated values
Crystal system ... monoclinic
Space-group type ... No. 12

The structure in Quantum ESPRESSO input format:
```
&SYSTEM
  ibrav = 0, nat = 14, ntyp = 3
/
ATOMIC_SPECIES
Cd 112.41 Cd.upf
Pt 195.08 Pt.upf
Au 196.97 Au.upf
CELL_PARAMETERS angstrom
2.8060 -6.4939 0.0000
2.8060 6.4939 0.0000
-1.0316 0.0000 7.9831
ATOMIC_POSITIONS angstrom
Cd 1.3098 4.0733 6.2205
Cd 0.8589 0.0000 4.2986
Cd 3.2706 4.0733 1.7626
Cd 1.3098 -4.0733 6.2205
Cd 3.7215 0.0000 3.6845
Cd 3.2706 -4.0733 1.7626
Pt 1.7813 0.0000 1.7063
Pt 2.7992 0.0000 6.2768
Au -0.0411 0.0000 6.8950
Au 2.2902 2.6175 3.9916
Au 2.8060 1.9868 0.0000
Au 2.8060 -1.9868 0.0000
Au 2.2902 -2.6175 3.9916
Au 4.6215 0.0000 1.0882
```

=====

## x
Cd3PtAu3: optimized geometry, GGA-PBE. Values from VASP.

Calculated values
Crystal system ... monoclinic
Space-group type ... No. 12

The structure in Quantum ESPRESSO input format:
```
&SYSTEM
  ibrav = 0, nat = 14, ntyp = 3
/
ATOMIC_SPECIES
Cd 112.41 Cd.upf
Pt 195.08 Pt.upf
Au 196.97 Au.upf
CELL_PARAMETERS angstrom
4.8402 -4.8480 0.0000
4.8402 4.8480 0.0000
-0.0136 0.0000 5.9724
ATOMIC_POSITIONS angstrom
Cd 4.8402 3.2933 0.0000
Cd 2.2674 0.0000 2.9772
Cd 4.8334 2.4733 2.9862
Cd 4.8334 -2.4733 2.9862
Cd 7.3994 0.0000 2.9952
Cd 4.8402 -3.2933 0.0000
Pt 2.3451 0.0000 0.0081
Pt 7.3217 0.0000 5.9643
Au 2.4137 2.4149 4.5156
Au 2.4137 -2.4149 4.5156
Au 4.8214 0.0000 4.5491
Au 4.8454 0.0000 1.4234
Au 7.2531 2.4149 1.4568
Au 7.2531 -2.4149 1.4568
```

=====

Q: Which of them is the least stable? A: w.

=====

## w
CdPtAu: optimized geometry, GGA-PBE. Values from VASP.

Calculated values
Crystal system ... cubic
Space-group type ... No. 216

The structure in Quantum ESPRESSO input format:
```
&SYSTEM
  ibrav = 0, nat = 3, ntyp = 3
/
ATOMIC_SPECIES
Cd 112.41 Cd.upf
Pt 195.08 Pt.upf
Au 196.97 Au.upf
CELL_PARAMETERS angstrom
0.0000 3.1768 3.1768
3.1768 0.0000 3.1768
3.1768 3.1768 0.0000
ATOMIC_POSITIONS angstrom
Cd 0.0000 0.0000 0.0000
Pt 1.5884 1.5884 1.5884
Au 3.1768 3.1768 3.1768
```

=====

## x
CdPtAu: optimized geometry, GGA-PBE. Values from VASP.

Calculated values
Crystal system ... orthorhombic
Space-group type ... No. 44

The structure in Quantum ESPRESSO input format:
```
&SYSTEM
  ibrav = 0, nat = 3, ntyp = 3
/
ATOMIC_SPECIES
Cd 112.41 Cd.upf
Pt 195.08 Pt.upf
Au 196.97 Au.upf
CELL_PARAMETERS angstrom
-1.4870 2.0326 4.4146
1.4870 -2.0326 4.4146
1.4870 2.0326 -4.4146
ATOMIC_POSITIONS angstrom
Cd 0.0000 0.0000 0.0000
Pt 0.0000 0.0000 5.8503
Au 0.0000 0.0000 2.9009
```

=====

Q: Which of them is the least stable? A: w.

=====

## w
CdPtAu: optimized geometry, GGA-PBE. Values from VASP.

Calculated values
Crystal system ... orthorhombic
Space-group type ... No. 63

The structure in Quantum ESPRESSO input format:
```
&SYSTEM
  ibrav = 0, nat = 6, ntyp = 3
/
ATOMIC_SPECIES
Cd 112.41 Cd.upf
Pt 195.08 Pt.upf
Au 196.97 Au.upf
CELL_PARAMETERS angstrom
1.4904 -7.5755 0.0000
1.4904 7.5755 0.0000
0.0000 0.0000 4.7436
ATOMIC_POSITIONS angstrom
Cd 1.4904 6.0270 3.5577
Cd 1.4904 -6.0270 1.1859
Pt 1.4904 0.8896 3.5577
Pt 1.4904 -0.8896 1.1859
Au 1.4904 4.2069 1.1859
Au 1.4904 -4.2069 3.5577
```

=====

## x
CdPtAu: optimized geometry, GGA-PBE. Values from VASP.

Calculated values
Crystal system ... orthorhombic
Space-group type ... No. 63

The structure in Quantum ESPRESSO input format:
```
&SYSTEM
  ibrav = 0, nat = 6, ntyp = 3
/
ATOMIC_SPECIES
Cd 112.41 Cd.upf
Pt 195.08 Pt.upf
Au 196.97 Au.upf
CELL_PARAMETERS angstrom
2.2640 -4.5279 0.0000
2.2640 4.5279 0.0000
0.0000 0.0000 5.4998
ATOMIC_POSITIONS angstrom
Cd 2.2640 2.6735 4.1248
Cd 2.2640 -2.6735 1.3749
Pt 2.2640 3.6003 1.3749
Pt 2.2640 -3.6003 4.1248
Au 2.2640 0.0000 0.0000
Au 2.2640 0.0000 2.7499
```

=====

## y
CdPtAu: optimized geometry, GGA-PBE. Values from VASP.

Calculated values
Crystal system ... tetragonal
Space-group type ... No. 139

The structure in Quantum ESPRESSO input format:
```
&SYSTEM
  ibrav = 0, nat = 6, ntyp = 3
/
ATOMIC_SPECIES
Cd 112.41 Cd.upf
Pt 195.08 Pt.upf
Au 196.97 Au.upf
CELL_PARAMETERS angstrom
-1.7093 1.7093 10.1045
1.7093 -1.7093 10.1045
1.7093 1.7093 -10.1045
ATOMIC_POSITIONS angstrom
Cd 0.0000 0.0000 2.8579
Cd 0.0000 0.0000 17.3511
Pt 0.0000 0.0000 5.8066
Pt 0.0000 0.0000 14.4024
Au 0.0000 0.0000 8.7782
Au 0.0000 0.0000 11.4308
```

=====

## z
CdPtAu: optimized geometry, GGA-PBE. Values from VASP.

Calculated values
Crystal system ... trigonal
Space-group type ... No. 156

The structure in Quantum ESPRESSO input format:
```
&SYSTEM
  ibrav = 0, nat = 3, ntyp = 3
/
ATOMIC_SPECIES
Cd 112.41 Cd.upf
Pt 195.08 Pt.upf
Au 196.97 Au.upf
CELL_PARAMETERS angstrom
4.6107 0.0000 0.0000
-2.3053 3.9930 0.0000
0.0000 0.0000 2.9202
ATOMIC_POSITIONS angstrom
Cd 0.0000 0.0000 0.0000
Pt 2.3053 1.3310 0.9986
Au 0.0000 2.6620 1.9162
```

=====

Q: Which of them is the least stable? A: y.

=====

## w
Cd8PtAu2: optimized geometry, GGA-PBE. Values from VASP.

Calculated values
Crystal system ... orthorhombic
Space-group type ... No. 71

The structure in Quantum ESPRESSO input format:
```
&SYSTEM
  ibrav = 0, nat = 11, ntyp = 3
/
ATOMIC_SPECIES
Cd 112.41 Cd.upf
Pt 195.08 Pt.upf
Au 196.97 Au.upf
CELL_PARAMETERS angstrom
-2.2684 3.7893 6.5775
2.2684 -3.7893 6.5775
2.2684 3.7893 -6.5775
ATOMIC_POSITIONS angstrom
Cd 2.2684 2.0672 -1.9914
Cd 0.0000 0.0000 2.0086
Cd 0.0000 2.2151 0.0000
Cd 2.2684 2.0672 1.9914
Cd 0.0000 1.7220 4.5861
Cd 0.0000 5.3634 0.0000
Cd 0.0000 0.0000 11.1463
Cd 0.0000 1.7220 8.5688
Pt 2.2684 0.0000 0.0000
Au 2.2684 0.0000 4.1147
Au 0.0000 3.7893 2.4628
```

=====

## x
Cd8PtAu2: optimized geometry, GGA-PBE. Values from VASP.

Calculated values
Crystal system ... monoclinic
Space-group type ... No. 12

The structure in Quantum ESPRESSO input format:
```
&SYSTEM
  ibrav = 0, nat = 11, ntyp = 3
/
ATOMIC_SPECIES
Cd 112.41 Cd.upf
Pt 195.08 Pt.upf
Au 196.97 Au.upf
CELL_PARAMETERS angstrom
9.3018 -2.3344 0.0000
9.3018 2.3344 0.0000
-1.4990 0.0000 5.4802
ATOMIC_POSITIONS angstrom
Cd 0.1279 0.0000 1.5066
Cd 3.0628 0.0000 4.4550
Cd 5.7702 0.0000 2.5892
Cd 7.6122 0.0000 0.1346
Cd 9.4924 0.0000 5.3456
Cd 11.3344 0.0000 2.8910
Cd 14.0418 0.0000 1.0252
Cd 16.9767 0.0000 3.9736
Pt 8.5523 0.0000 2.7401
Au 2.9971 0.0000 1.3896
Au 14.1075 0.0000 4.0907
```

=====

Q: Which of them is the least stable? A: x.

=====

## w
Cd4PtAu7: optimized geometry, GGA-PBE. Values from VASP.

Calculated values
Crystal system ... triclinic
Space-group type ... No. 2

The structure in Quantum ESPRESSO input format:
```
&SYSTEM
  ibrav = 0, nat = 12, ntyp = 3
/
ATOMIC_SPECIES
Cd 112.41 Cd.upf
Pt 195.08 Pt.upf
Au 196.97 Au.upf
CELL_PARAMETERS angstrom
5.8823 0.0000 0.0000
-2.9140 5.9900 0.0000
-1.3674 -1.5416 6.3455
ATOMIC_POSITIONS angstrom
Cd -0.7100 0.7222 1.1328
Cd -0.6065 3.7691 1.1443
Cd 2.2074 0.6793 5.2012
Cd 2.3109 3.7262 5.2127
Pt 0.8005 2.2242 3.1728
Au -2.1407 2.2242 3.1728
Au -0.7271 0.7357 5.2918
Au 0.7807 -0.7373 3.1561
Au 2.2145 0.7610 1.0430
Au -0.6136 3.6874 5.3026
Au 0.8202 5.1856 3.1894
Au 2.3280 3.7127 1.0538
```

=====

## x
Cd4PtAu7: optimized geometry, GGA-PBE. Values from VASP.

Calculated values
Crystal system ... monoclinic
Space-group type ... No. 12

The structure in Quantum ESPRESSO input format:
```
&SYSTEM
  ibrav = 0, nat = 12, ntyp = 3
/
ATOMIC_SPECIES
Cd 112.41 Cd.upf
Pt 195.08 Pt.upf
Au 196.97 Au.upf
CELL_PARAMETERS angstrom
5.4415 -2.5980 0.0000
5.4415 2.5980 0.0000
-5.0583 0.0000 8.8015
ATOMIC_POSITIONS angstrom
Cd -0.3242 0.0000 2.4299
Cd -1.4238 0.0000 7.3424
Cd 7.2486 0.0000 1.4591
Cd 6.1490 0.0000 6.3716
Pt 2.9124 0.0000 4.4008
Au -2.5291 0.0000 4.4008
Au 1.3555 0.0000 0.1771
Au 0.2448 0.0000 5.1403
Au 3.6083 0.0000 1.6947
Au 2.2165 0.0000 7.1068
Au 5.5799 0.0000 3.6613
Au 4.4692 0.0000 8.6244
```

=====

Q: Which of them is the least stable? A: x.

=====

## w
Cd2Pt2Au3: optimized geometry, GGA-PBE. Values from VASP.

Calculated values
Crystal system ... monoclinic
Space-group type ... No. 14

The structure in Quantum ESPRESSO input format:
```
&SYSTEM
  ibrav = 0, nat = 14, ntyp = 3
/
ATOMIC_SPECIES
Cd 112.41 Cd.upf
Pt 195.08 Pt.upf
Au 196.97 Au.upf
CELL_PARAMETERS angstrom
7.0922 0.0000 0.0000
0.0000 8.2371 0.0000
-1.1996 0.0000 4.6145
ATOMIC_POSITIONS angstrom
Cd 0.8358 1.1598 0.1197
Cd 0.2360 2.9587 2.4269
Cd 5.6566 5.2783 2.1876
Cd 5.0568 7.0773 4.4948
Pt 2.6480 1.3727 2.2655
Pt 2.0482 2.7458 4.5727
Pt 3.8444 5.4912 0.0417
Pt 3.2446 6.8644 2.3490
Au 1.1422 4.9136 0.0840
Au 0.5423 7.4420 2.3912
Au 3.5461 0.0000 0.0000
Au 2.9463 4.1185 2.3072
Au 5.3502 0.7950 2.2233
Au 4.7504 3.3235 4.5305
```

=====

## x
Cd2Pt2Au3: optimized geometry, GGA-PBE. Values from VASP.

Calculated values
Crystal system ... triclinic
Space-group type ... No. 2

The structure in Quantum ESPRESSO input format:
```
&SYSTEM
  ibrav = 0, nat = 7, ntyp = 3
/
ATOMIC_SPECIES
Cd 112.41 Cd.upf
Pt 195.08 Pt.upf
Au 196.97 Au.upf
CELL_PARAMETERS angstrom
2.9237 0.0000 0.0000
-1.4543 6.7385 0.0000
-0.0068 -3.0733 6.5067
ATOMIC_POSITIONS angstrom
Cd -0.0010 0.7382 1.9531
Cd 1.4636 2.9269 4.5536
Pt 0.0015 5.4415 0.4877
Pt 1.4611 -1.7763 6.0190
Au 0.0007 0.4311 4.9521
Au 1.4584 -1.5367 3.2534
Au 1.4619 3.2341 1.5546
```

=====

Q: Which of them is the least stable? A: w.